This record from the Alexandria database describes a relaxed AlC3Br crystal. The functional is PBE.

formation energy from raw total energies: 2.6089 eV/atom
energy above the most stable polymorph in this dataset: 0 meV/atom
total magnetization: 0.0 μB/cell

a = 4.0744 Å, b = 4.0744 Å, c = 4.0744 Å
α = 90.00°, β = 90.00°, γ = 90.00°
With the nearest neighbours (Å) after each atom.
Space group Pm-3m (No. 221)
Unique sites:
Al (0.0000, 0.0000, 0.0000)  6 C 2.04
C (0.0000, 0.0000, 0.5000)  2 Al 2.04
Br (0.5000, 0.5000, 0.5000)  12 C 2.88

=====

This record from the Alexandria database describes a relaxed AlCBr3 crystal. The functional is PBE.

formation energy from raw total energies: 0.8884 eV/atom
total magnetization: 0.0 μB/cell

a = 4.8559 Å, b = 4.8559 Å, c = 4.8559 Å
α = 90.00°, β = 90.00°, γ = 90.00°
With the nearest neighbours (Å) after each atom.
Space group Pm-3m (No. 221)
Unique sites:
Al (0.0000, 0.0000, 0.0000)  12 Br 3.43
C (0.5000, 0.5000, 0.5000)  6 Br 2.43
Br (0.0000, 0.5000, 0.5000)  2 C 2.43

=====

This record from the Alexandria database describes a relaxed Al3CBr crystal. The functional is PBE.

formation energy from raw total energies: 2.1332 eV/atom
energy above the most stable polymorph in this dataset: 1526 meV/atom
total magnetization: 2.0 μB/cell

a = 5.5772 Å, b = 5.5772 Å, c = 5.5772 Å
α = 90.00°, β = 90.00°, γ = 90.00°
With the nearest neighbours (Å) after each atom.
Space group Pm-3m (No. 221)
Unique sites:
Al (0.0000, 0.0000, 0.5000)  2 Br 2.79
C (0.5000, 0.5000, 0.5000)  12 Al 3.94
Br (0.0000, 0.0000, 0.0000)  6 Al 2.79

=====

This record from the Alexandria database describes a relaxed AlC3Br crystal. The functional is PBE.

formation energy from raw total energies: 3.3690 eV/atom
energy above the most stable polymorph in this dataset: 760 meV/atom
total magnetization: 0.0 μB/cell

a = 3.9254 Å, b = 3.9254 Å, c = 3.9254 Å
α = 90.00°, β = 90.00°, γ = 90.00°
With the nearest neighbours (Å) after each atom.
Space group Pm-3m (No. 221)
Unique sites:
Al (0.0000, 0.0000, 0.0000)  12 C 2.78
C (0.0000, 0.5000, 0.5000)  2 Br 1.96
Br (0.5000, 0.5000, 0.5000)  6 C 1.96

=====

This record from the Alexandria database describes a relaxed CaAlC2Br crystal. The functional is PBE.

formation energy from raw total energies: 1.9436 eV/atom
total magnetization: 4.4 μB/cell

a = 4.8366 Å, b = 4.8366 Å, c = 5.7714 Å
α = 90.00°, β = 90.00°, γ = 90.00°
With the nearest neighbours (Å) after each atom.
Space group P4/mmm (No. 123)
Unique sites:
Ca (0.0000, 0.0000, 0.0000)  4 C 2.42
Al (0.5000, 0.5000, 0.5000)  4 Br 3.42, 8 C 3.77
C (0.0000, 0.5000, 0.0000)  2 Ca 2.42
Br (0.0000, 0.0000, 0.5000)  2 Ca 2.89

=====

This record from the Alexandria database describes a relaxed AlCBr2Cl crystal. The functional is PBE.

formation energy from raw total energies: 0.7128 eV/atom
total magnetization: 2.0 μB/cell

a = 5.2669 Å, b = 5.2669 Å, c = 3.9488 Å
α = 90.00°, β = 90.00°, γ = 90.00°
With the nearest neighbours (Å) after each atom.
Space group P4/mmm (No. 123)
Unique sites:
Al (0.0000, 0.0000, 0.0000)  2 C 1.97
C (0.0000, 0.0000, 0.5000)  2 Al 1.97
Br (0.0000, 0.5000, 0.0000)  2 Al 2.63
Cl (0.5000, 0.5000, 0.5000)  8 Br 3.29

=====

This record from the Alexandria database describes a relaxed Cs2AlCBr6 crystal. The functional is PBE.

formation energy from raw total energies: -0.5817 eV/atom
total magnetization: 2.0 μB/cell

a = 7.3164 Å, b = 7.3164 Å, c = 11.8240 Å
α = 90.00°, β = 90.00°, γ = 90.00°
With the nearest neighbours (Å) after each atom.
Space group I4/mmm (No. 139)
Unique sites:
Cs (0.0000, 0.5000, 0.2500)  12 Br 3.70-3.93
Al (0.0000, 0.0000, 0.0000)  6 Br 2.43-2.65
C (0.0000, 0.0000, 0.5000)  4 Br 2.52
Br (0.0000, 0.0000, 0.2051)  1 Al 2.43
Br (0.2438, 0.2438, 0.5000)  1 C 2.52, 1 Al 2.65

=====

This record from the Alexandria database describes a relaxed AlCuCBr2 crystal. The functional is PBE.

formation energy from raw total energies: 0.8580 eV/atom
total magnetization: 0.0 μB/cell

a = 5.4840 Å, b = 5.4840 Å, c = 3.6587 Å
α = 90.00°, β = 90.00°, γ = 90.00°
With the nearest neighbours (Å) after each atom.
Space group P4/mmm (No. 123)
Unique sites:
Al (0.0000, 0.0000, 0.0000)  8 Br 3.30, 2 Al 3.66
Cu (0.5000, 0.5000, 0.5000)  2 C 1.83
C (0.5000, 0.5000, 0.0000)  2 Cu 1.83
Br (0.0000, 0.5000, 0.5000)  2 Cu 2.74